1.
Entry from Alexandria via LeMat-Bulk: crystalline BePbF2 at its relaxed geometry (PBE).

Results
Magnetic moment ... 0.0 μB per formula unit
Space-group type ... Fm-3m
DOS(E_F) ... 0.04 states/eV/atom
Energy above the most stable polymorph in this dataset ... 1108 meV/atom
Raw formation energy ... -0.841 eV/atom

Geometry as extended XYZ:
```
4
Lattice="1.963 -0.279 4.000 -0.836 3.084 3.117 -2.414 -1.064 3.601" Properties=species:S:1:pos:R:3 pbc="T T T"
F -0.966 1.306 8.038
F -0.322 0.435 2.679
Pb -0.644 0.870 5.359
Be 0.000 0.000 0.000
```



2.
Entry from Alexandria via LeMat-Bulk: crystalline BePbF4 at its relaxed geometry (PBE).

Results
Magnetic moment ... 0.0 μB per formula unit
Space-group type ... Pnma
DOS(E_F) ... 0.00 states/eV/atom
Energy above the most stable polymorph in this dataset ... 21 meV/atom
Raw formation energy ... -2.821 eV/atom

Geometry as extended XYZ:
```
24
Lattice="-2.897 4.005 -2.184 2.240 -2.042 -6.715 -7.274 -5.649 -0.708" Properties=species:S:1:pos:R:3 pbc="T T T"
F -3.466 -2.442 -6.459
F -4.466 -1.244 -3.148
F -0.971 -2.663 -6.938
F 1.583 -1.565 -5.075
F -4.591 -5.471 -7.284
F -5.868 0.694 -4.206
F -9.514 -2.122 -4.532
F -3.340 1.785 -2.323
F -6.227 -1.724 -4.928
F -5.363 -4.800 -5.029
F -8.112 -4.060 -3.475
F -1.705 -1.963 -4.680
F -2.063 -4.381 -5.402
F -6.961 -1.023 -2.669
F 0.180 0.374 -6.132
F -2.569 1.113 -4.578
Pb -5.874 -3.943 -2.780
Pb -2.237 -1.119 -2.427
Pb -5.694 -2.567 -7.180
Pb -2.057 0.257 -6.827
Be -2.108 -2.906 -5.875
Be -2.190 2.047 -3.368
Be -5.824 -0.780 -3.732
Be -5.741 -5.734 -6.239
```



3.
Entry from Alexandria via LeMat-Bulk: crystalline ScBe2PbF at its relaxed geometry (PBE).

Results
Magnetic moment ... 0.8 μB per formula unit
Space-group type ... P4/mmm
DOS(E_F) ... 1.04 states/eV/atom
Raw formation energy ... 1.019 eV/atom

Geometry as extended XYZ:
```
5
Lattice="4.868 0.000 0.000 0.000 5.976 0.000 0.000 0.000 4.868" Properties=species:S:1:pos:R:3 pbc="T T T"
Be 2.434 0.000 0.000
Be 0.000 0.000 2.434
F 2.434 2.988 2.434
Pb 0.000 2.988 0.000
Sc 0.000 0.000 0.000
```